Below is a relaxed Cu2As4O crystal, with properties calculated at the PBE level.

DOS(E_F)	0.57	states/eV per atom
formation energy (no corrections)	0.177	eV/atom
electronic total energy	-4.3583	eV per atom

Unit cell a=4.2114 b=4.2114 c=15.0111 alpha=90.00 beta=90.00 gamma=90.00
Space group I4/mmm (No. 139)
Symmetry-distinct sites (fractional):
Cu 0.0000 0.0000 0.0881 [4 per cell]
As 0.0000 0.0000 0.2429 [4 per cell]
As 0.0000 0.5000 0.0000 [4 per cell]
O 0.0000 0.0000 0.5000 [2 per cell]